Arrangement P

! ZrBeRh3, relaxed, DFT PBE; values from VASP
! Density (g/cm3): 9.32
! N(E_F) (states/eV per cell): 5.4
! SG: No. 221
&SYSTEM
  ibrav = 0, nat = 5, ntyp = 3
/
ATOMIC_SPECIES
Be 9.01 Be.upf
Rh 102.91 Rh.upf
Zr 91.22 Zr.upf
ATOMIC_POSITIONS crystal
Be 0.0000 0.0000 0.0000
Rh 0.0000 0.5000 0.0000
Rh 0.0000 0.0000 0.5000
Rh 0.5000 0.0000 0.0000
Zr 0.5000 0.5000 0.5000
CELL_PARAMETERS angstrom
-0.0112 0.1368 4.1749
-3.4719 -2.3218 0.0667
2.3227 -3.4698 0.1199

=====

Arrangement Q

! ZrBeRh3, relaxed, DFT PBE; values from VASP
! Density (g/cm3): 6.29
! N(E_F) (states/eV per cell): 3.8
! SG: No. 221
&SYSTEM
  ibrav = 0, nat = 5, ntyp = 3
/
ATOMIC_SPECIES
Be 9.01 Be.upf
Rh 102.91 Rh.upf
Zr 91.22 Zr.upf
ATOMIC_POSITIONS crystal
Be 0.5000 0.5000 0.5000
Rh 0.0000 0.5000 0.0000
Rh 0.0000 0.0000 0.5000
Rh 0.5000 0.0000 0.0000
Zr 0.0000 0.0000 0.0000
CELL_PARAMETERS angstrom
-3.6025 1.4111 2.7740
-2.3568 -4.0082 -1.0218
2.0326 -2.1465 3.7317

=====

Verdict on stability: arrangement Q comes out at the bottom.